Record 1
VASP calculation (GGA-PBE) on NdNpCu after structural relaxation.

It has space group F-43m (No. 216), with a = 6.783 Å, b = 6.783 Å, c = 6.783 Å, α = 90.00°, β = 90.00° and γ = 90.00°. Symmetry generates all atoms from Nd at (0.000, 0.000, 0.000), Np at (0.000, 0.000, 0.500) and Cu at (0.250, 0.250, 0.250).

The total energy comes out at -6.52 eV per atom.

***

Record 2
VASP calculation (GGA-PBE) on ThHgH after structural relaxation.

It has space group P2_1/m (No. 11), with a = 4.204 Å, b = 4.503 Å, c = 6.499 Å, α = 90.00°, β = 108.80° and γ = 90.00°. Symmetry generates all atoms from Th at (0.158, 0.250, 0.317), Hg at (0.428, 0.250, 0.856) and H at (0.245, 0.750, 0.492).

The total energy comes out at -4.07 eV per atom.

***

Record 3
VASP calculation (GGA-PBE) on NaSrDyS3 after structural relaxation.

It has space group C2/m (No. 12), with a = 17.096 Å, b = 4.008 Å, c = 8.694 Å, α = 90.00°, β = 104.93° and γ = 90.00°. Symmetry generates all atoms from Na at (0.003, 0.000, 0.203), Sr at (0.135, 0.500, 0.566), Dy at (0.166, 0.500, 0.087), S at (0.000, 0.000, 0.500), S at (0.000, 0.500, 0.000), S at (0.169, 0.000, 0.864) and S at (0.178, 0.000, 0.311).

The total energy comes out at -5.21 eV per atom.

***

Record 4
VASP calculation (GGA-PBE) on Cs4CdAu2 after structural relaxation.

It has space group R-3m (No. 166, hexagonal axes), with a = 6.2380 Å, b = 6.2380 Å, c = 32.1075 Å, α = 90.00°, β = 90.00° and γ = 120.00°. Symmetry generates all atoms from Cs at (0.0000, 0.0000, 0.1154), Cs at (0.0000, 0.0000, 0.2923), Cd at (0.0000, 0.0000, 0.5000) and Au at (0.0000, 0.0000, 0.4104).

The total energy comes out at -1.78 eV per atom.

***

Record 5
VASP calculation (GGA-PBE) on CsTaPbS5 after structural relaxation.

It has space group P-1 (No. 2), with a = 7.178 Å, b = 7.829 Å, c = 9.805 Å, α = 70.16°, β = 77.68° and γ = 75.16°. Symmetry generates all atoms from Cs at (0.107, 0.359, 0.287), Ta at (0.258, 0.969, 0.997), Pb at (0.480, 0.713, 0.361), S at (0.059, 0.787, 0.975), S at (0.166, 0.898, 0.269), S at (0.267, 0.091, 0.729), S at (0.420, 0.623, 0.646) and S at (0.433, 0.226, 0.986).

The total energy comes out at -5.33 eV per atom.

***

Record 6
VASP calculation (GGA-PBE) on DyZrNb after structural relaxation.

It has space group F-43m (No. 216), with a = 6.805 Å, b = 6.805 Å, c = 6.805 Å, α = 90.00°, β = 90.00° and γ = 90.00°. Symmetry generates all atoms from Dy at (0.000, 0.000, 0.000), Zr at (0.000, 0.000, 0.500) and Nb at (0.250, 0.250, 0.250).

The total energy comes out at -6.99 eV per atom.

***

Record 7
VASP calculation (GGA-PBE) on Mg4P6Ir7 after structural relaxation.

It has space group Im-3m (No. 229), with a = 7.931 Å, b = 7.931 Å, c = 7.931 Å, α = 90.00°, β = 90.00° and γ = 90.00°. Symmetry generates all atoms from Mg at (0.250, 0.250, 0.250), P at (0.000, 0.000, 0.318), Ir at (0.000, 0.000, 0.000) and Ir at (0.000, 0.250, 0.500).

The total energy comes out at -6.55 eV per atom.

***

Record 8
VASP calculation (GGA-PBE) on Ba2CoSn after structural relaxation.

It has space group F-43m (No. 216), with a = 7.761 Å, b = 7.761 Å, c = 7.761 Å, α = 90.00°, β = 90.00° and γ = 90.00°. Symmetry generates all atoms from Ba at (0.000, 0.000, 0.000), Ba at (0.250, 0.250, 0.250), Co at (0.000, 0.000, 0.500) and Sn at (0.250, 0.250, 0.750).

The total energy comes out at -3.51 eV per atom.

***

Record 9
VASP calculation (GGA-PBE) on Mg2Pd3 after structural relaxation.

It has space group R-3c (No. 167, hexagonal axes), with a = 6.6436 Å, b = 6.6436 Å, c = 13.5593 Å, α = 90.00°, β = 90.00° and γ = 120.00°. Symmetry generates all atoms from Mg at (0.0000, 0.0000, 0.1015) and Pd at (0.0000, 0.2528, 0.2500).

The total energy comes out at -4.02 eV per atom.

***

Record 10
VASP calculation (GGA-PBE) on HfZrAl2Pt4 after structural relaxation.

It has space group P-6m2 (No. 187), with a = 4.2889 Å, b = 4.2889 Å, c = 8.6887 Å, α = 90.00°, β = 90.00° and γ = 120.00°. Symmetry generates all atoms from Hf at (0.0000, 0.0000, 0.0000), Zr at (0.6667, 0.3333, 0.5000), Al at (0.3333, 0.6667, 0.2498), Pt at (0.0000, 0.0000, 0.3357) and Pt at (0.6667, 0.3333, 0.1612).

The total energy comes out at -7.42 eV per atom.

***

Record 11
VASP calculation (GGA-PBE) on LiMgTc after structural relaxation.

It has space group F-43m (No. 216), with a = 5.938 Å, b = 5.938 Å, c = 5.938 Å, α = 90.00°, β = 90.00° and γ = 90.00°. Symmetry generates all atoms from Li at (0.000, 0.000, 0.000), Mg at (0.250, 0.250, 0.750) and Tc at (0.250, 0.250, 0.250).

The total energy comes out at -3.64 eV per atom.

***

Record 12
VASP calculation (GGA-PBE) on Pr3CuSiSe7 after structural relaxation.

It has space group P6_3 (No. 173), with a = 10.6926 Å, b = 10.6926 Å, c = 6.1085 Å, α = 90.00°, β = 90.00° and γ = 120.00°. Symmetry generates all atoms from Pr at (0.1266, 0.3554, 0.0000), Cu at (0.0000, 0.0000, 0.0284), Si at (0.3333, 0.6667, 0.4121), Se at (0.0904, 0.2547, 0.5169), Se at (0.1069, 0.5848, 0.2644) and Se at (0.3333, 0.6667, 0.7837).

The total energy comes out at -5.36 eV per atom.